# U2Ni3P | Alexandria via LeMat-Bulk | GGA-PBE | relaxed
data_U2Ni3P
_cell_length_a 5.220
_cell_length_b 5.220
_cell_length_c 8.331
_cell_angle_alpha 113.58
_cell_angle_beta 113.58
_cell_angle_gamma 73.91
_space_group_name_H-M_alt 'P 1'
_space_group_IT_number 1
loop_
_space_group_symop_operation_xyz
'x,y,z'
loop_
_atom_site_label
_atom_site_type_symbol
_atom_site_fract_x
_atom_site_fract_y
_atom_site_fract_z
U1 U 0.750 0.250 0.500
U2 U 0.789 0.211 0.000
U3 U 0.211 0.789 0.000
U4 U 0.250 0.750 0.500
Ni1 Ni 0.351 0.351 0.172
Ni2 Ni 0.179 0.179 0.828
Ni3 Ni 0.825 0.825 0.650
Ni4 Ni 0.175 0.175 0.350
Ni5 Ni 0.649 0.649 0.828
Ni6 Ni 0.821 0.821 0.172
P1 P 0.663 0.663 0.326
P2 P 0.337 0.337 0.674
# **ΔH_f (0 K)**: -446 meV per atom
# **VASP energy**: -96.02 eV per cell

=====

# AgSb2P | Alexandria via LeMat-Bulk | GGA-PBE | relaxed
data_AgSb2P
_cell_length_a 7.401
_cell_length_b 7.401
_cell_length_c 7.401
_cell_angle_alpha 30.59
_cell_angle_beta 30.59
_cell_angle_gamma 30.59
_space_group_name_H-M_alt 'P 1'
_space_group_IT_number 1
loop_
_space_group_symop_operation_xyz
'x,y,z'
loop_
_atom_site_label
_atom_site_type_symbol
_atom_site_fract_x
_atom_site_fract_y
_atom_site_fract_z
P1 P 0.752 0.752 0.752
Sb1 Sb 0.244 0.244 0.244
Sb2 Sb 0.012 0.012 0.012
Ag1 Ag 0.491 0.491 0.491
# **VASP energy**: -15.82 eV per cell

=====

# La2ErInO6 | Alexandria via LeMat-Bulk | GGA-PBE | relaxed
data_La2ErInO6
_cell_length_a 5.821
_cell_length_b 6.030
_cell_length_c 8.448
_cell_angle_alpha 90.00
_cell_angle_beta 90.47
_cell_angle_gamma 90.00
_space_group_name_H-M_alt 'P 1'
_space_group_IT_number 1
loop_
_space_group_symop_operation_xyz
'x,y,z'
loop_
_atom_site_label
_atom_site_type_symbol
_atom_site_fract_x
_atom_site_fract_y
_atom_site_fract_z
O1 O 0.192 0.198 0.064
O2 O 0.302 0.697 0.067
O3 O 0.692 0.302 0.564
O4 O 0.698 0.303 0.933
O5 O 0.876 0.554 0.249
O6 O 0.376 0.946 0.749
O7 O 0.624 0.054 0.251
O8 O 0.124 0.446 0.751
O9 O 0.198 0.197 0.433
O10 O 0.308 0.698 0.436
O11 O 0.808 0.802 0.936
O12 O 0.802 0.803 0.567
La1 La 0.984 0.051 0.751
La2 La 0.516 0.551 0.749
La3 La 0.016 0.949 0.249
La4 La 0.484 0.449 0.251
Er1 Er 0.500 0.000 0.000
Er2 Er 0.000 0.500 0.500
In1 In 0.000 0.500 0.000
In2 In 0.500 0.000 0.500
# **VASP energy**: -154.15 eV per cell

=====

# SrPb | Alexandria via LeMat-Bulk | GGA-PBE | relaxed
data_SrPb
_cell_length_a 4.013
_cell_length_b 4.013
_cell_length_c 5.328
_cell_angle_alpha 90.00
_cell_angle_beta 90.00
_cell_angle_gamma 120.00
_space_group_name_H-M_alt 'P 1'
_space_group_IT_number 1
loop_
_space_group_symop_operation_xyz
'x,y,z'
loop_
_atom_site_label
_atom_site_type_symbol
_atom_site_fract_x
_atom_site_fract_y
_atom_site_fract_z
Pb1 Pb 0.000 0.000 0.000
Sr1 Sr 0.667 0.333 0.500
# **ΔH_f (0 K)**: -376 meV per atom
# **VASP energy**: -6.14 eV per cell

=====

# Sb2PtCl | Alexandria via LeMat-Bulk | GGA-PBE | relaxed
data_Sb2PtCl
_cell_length_a 3.529
_cell_length_b 3.292
_cell_length_c 8.170
_cell_angle_alpha 87.29
_cell_angle_beta 90.00
_cell_angle_gamma 90.00
_space_group_name_H-M_alt 'P 1'
_space_group_IT_number 1
loop_
_space_group_symop_operation_xyz
'x,y,z'
loop_
_atom_site_label
_atom_site_type_symbol
_atom_site_fract_x
_atom_site_fract_y
_atom_site_fract_z
Pt1 Pt 0.500 0.750 0.750
Sb1 Sb 0.000 0.265 0.548
Sb2 Sb 0.000 0.235 0.952
Cl1 Cl 0.500 0.250 0.250
# **VASP energy**: -17.25 eV per cell

=====

# Ho2Be3GaPt4 | Alexandria via LeMat-Bulk | GGA-PBE | relaxed
data_Ho2Be3GaPt4
_cell_length_a 4.040
_cell_length_b 4.040
_cell_length_c 9.851
_cell_angle_alpha 90.00
_cell_angle_beta 90.00
_cell_angle_gamma 90.00
_space_group_name_H-M_alt 'P 1'
_space_group_IT_number 1
loop_
_space_group_symop_operation_xyz
'x,y,z'
loop_
_atom_site_label
_atom_site_type_symbol
_atom_site_fract_x
_atom_site_fract_y
_atom_site_fract_z
Pt1 Pt 0.000 0.500 0.352
Pt2 Pt 0.500 0.000 0.648
Pt3 Pt 0.000 0.000 0.000
Pt4 Pt 0.500 0.500 0.000
Ho1 Ho 0.000 0.500 0.759
Ho2 Ho 0.500 0.000 0.241
Be1 Be 0.000 0.000 0.500
Be2 Be 0.000 0.500 0.119
Be3 Be 0.500 0.000 0.881
Ga1 Ga 0.500 0.500 0.500
# **ΔH_f (0 K)**: -935 meV per atom
# **VASP energy**: -56.87 eV per cell

=====

# AlTlPb2 | Alexandria via LeMat-Bulk | GGA-PBE | relaxed
data_AlTlPb2
_cell_length_a 3.411
_cell_length_b 3.411
_cell_length_c 9.835
_cell_angle_alpha 90.00
_cell_angle_beta 90.00
_cell_angle_gamma 100.12
_space_group_name_H-M_alt 'P 1'
_space_group_IT_number 1
loop_
_space_group_symop_operation_xyz
'x,y,z'
loop_
_atom_site_label
_atom_site_type_symbol
_atom_site_fract_x
_atom_site_fract_y
_atom_site_fract_z
Al1 Al 0.500 0.500 0.751
Tl1 Tl 0.000 0.000 0.528
Pb1 Pb 0.500 0.500 0.250
Pb2 Pb 0.000 0.000 0.971
# **ΔH_f (0 K)**: 148 meV per atom
# **VASP energy**: -12.93 eV per cell

=====

# Ba2SnO | Alexandria via LeMat-Bulk | GGA-PBE | relaxed
data_Ba2SnO
_cell_length_a 5.690
_cell_length_b 5.690
_cell_length_c 5.690
_cell_angle_alpha 60.00
_cell_angle_beta 60.00
_cell_angle_gamma 60.00
_space_group_name_H-M_alt 'P 1'
_space_group_IT_number 1
loop_
_space_group_symop_operation_xyz
'x,y,z'
loop_
_atom_site_label
_atom_site_type_symbol
_atom_site_fract_x
_atom_site_fract_y
_atom_site_fract_z
Ba1 Ba 0.250 0.250 0.250
Ba2 Ba 0.750 0.750 0.750
Sn1 Sn 0.500 0.500 0.500
O1 O 0.000 0.000 0.000
# **VASP energy**: -15.18 eV per cell

=====

# TbGaCu2Ni | Alexandria via LeMat-Bulk | GGA-PBE | relaxed
data_TbGaCu2Ni
_cell_length_a 3.720
_cell_length_b 4.002
_cell_length_c 6.118
_cell_angle_alpha 109.09
_cell_angle_beta 107.70
_cell_angle_gamma 90.00
_space_group_name_H-M_alt 'P 1'
_space_group_IT_number 1
loop_
_space_group_symop_operation_xyz
'x,y,z'
loop_
_atom_site_label
_atom_site_type_symbol
_atom_site_fract_x
_atom_site_fract_y
_atom_site_fract_z
Cu1 Cu 0.052 0.052 0.103
Cu2 Cu 0.701 0.201 0.402
Ni1 Ni 0.833 0.833 0.667
Tb1 Tb 0.436 0.436 0.872
Ga1 Ga 0.190 0.690 0.381
# **ΔH_f (0 K)**: -330 meV per atom
# **VASP energy**: -23.28 eV per cell

=====

# TbGd2Mg | Alexandria via LeMat-Bulk | GGA-PBE | relaxed
data_TbGd2Mg
_cell_length_a 5.525
_cell_length_b 5.525
_cell_length_c 5.525
_cell_angle_alpha 60.00
_cell_angle_beta 60.00
_cell_angle_gamma 60.00
_space_group_name_H-M_alt 'P 1'
_space_group_IT_number 1
loop_
_space_group_symop_operation_xyz
'x,y,z'
loop_
_atom_site_label
_atom_site_type_symbol
_atom_site_fract_x
_atom_site_fract_y
_atom_site_fract_z
Gd1 Gd 0.250 0.250 0.250
Gd2 Gd 0.750 0.750 0.750
Tb1 Tb 0.000 0.000 0.000
Mg1 Mg 0.500 0.500 0.500
# **ΔH_f (0 K)**: 33 meV per atom
# **VASP energy**: -34.25 eV per cell

=====

# NiAsCl2 | Alexandria via LeMat-Bulk | GGA-PBE | relaxed
data_NiAsCl2
_cell_length_a 2.951
_cell_length_b 2.939
_cell_length_c 10.693
_cell_angle_alpha 90.00
_cell_angle_beta 90.00
_cell_angle_gamma 90.00
_space_group_name_H-M_alt 'P 1'
_space_group_IT_number 1
loop_
_space_group_symop_operation_xyz
'x,y,z'
loop_
_atom_site_label
_atom_site_type_symbol
_atom_site_fract_x
_atom_site_fract_y
_atom_site_fract_z
As1 As 0.500 0.500 0.750
Cl1 Cl 0.000 0.000 0.110
Cl2 Cl 0.000 0.000 0.390
Ni1 Ni 0.500 0.500 0.250
# **VASP energy**: -12.95 eV per cell

=====

# NaSm2Cu | Alexandria via LeMat-Bulk | GGA-PBE | relaxed
data_NaSm2Cu
_cell_length_a 3.490
_cell_length_b 3.490
_cell_length_c 9.577
_cell_angle_alpha 90.00
_cell_angle_beta 90.00
_cell_angle_gamma 90.00
_space_group_name_H-M_alt 'P 1'
_space_group_IT_number 1
loop_
_space_group_symop_operation_xyz
'x,y,z'
loop_
_atom_site_label
_atom_site_type_symbol
_atom_site_fract_x
_atom_site_fract_y
_atom_site_fract_z
Cu1 Cu 0.500 0.500 0.000
Na1 Na 0.500 0.500 0.500
Sm1 Sm 0.000 0.000 0.818
Sm2 Sm 0.000 0.000 0.182
# **ΔH_f (0 K)**: 42 meV per atom
# **VASP energy**: -14.69 eV per cell

=====

# GaOsSCl2 | Alexandria via LeMat-Bulk | GGA-PBE | relaxed
data_GaOsSCl2
_cell_length_a 4.735
_cell_length_b 4.735
_cell_length_c 4.870
_cell_angle_alpha 90.00
_cell_angle_beta 90.00
_cell_angle_gamma 90.00
_space_group_name_H-M_alt 'P 1'
_space_group_IT_number 1
loop_
_space_group_symop_operation_xyz
'x,y,z'
loop_
_atom_site_label
_atom_site_type_symbol
_atom_site_fract_x
_atom_site_fract_y
_atom_site_fract_z
Ga1 Ga 0.000 0.000 0.000
Cl1 Cl 0.500 0.000 0.000
Cl2 Cl 0.000 0.500 0.000
Os1 Os 0.500 0.500 0.500
S1 S 0.000 0.000 0.500
# **VASP energy**: -17.33 eV per cell

=====

# PmTmTe2 | Alexandria via LeMat-Bulk | GGA-PBE | relaxed
data_PmTmTe2
_cell_length_a 3.805
_cell_length_b 5.373
_cell_length_c 5.373
_cell_angle_alpha 90.00
_cell_angle_beta 90.00
_cell_angle_gamma 90.00
_space_group_name_H-M_alt 'P 1'
_space_group_IT_number 1
loop_
_space_group_symop_operation_xyz
'x,y,z'
loop_
_atom_site_label
_atom_site_type_symbol
_atom_site_fract_x
_atom_site_fract_y
_atom_site_fract_z
Te1 Te 0.000 0.000 0.500
Te2 Te 0.000 0.500 0.000
Pm1 Pm 0.500 0.500 0.500
Tm1 Tm 0.500 0.000 0.000
# **VASP energy**: -20.21 eV per cell